Record 1
Compound: KIn4Hg6
Source: the Alexandria database
Functional: PBE
Structure: optimized geometry

Summary:
Total energy ... -14.0 eV per formula unit
Space-group type ... No. 121
Calculated formation energy ... -0.0156 eV/atom

Lattice parameters (Å, degrees): 8.1290 8.1290 8.1290 126.23 126.23 79.51
Last column: nearest neighbours and their distance in Å.
Fractional positions:
1 K 0.0000 0.0000 0.0000  8 Hg 3.57-3.68, 4 In 3.80
2 In 0.2489 0.2489 0.6923  5 Hg 2.91-3.17, 1 In 3.20
3 In 0.4435 0.7511 0.0000  5 Hg 2.91-3.17, 1 In 3.20
4 In 0.5565 0.5565 0.3077  5 Hg 2.91-3.17, 1 In 3.20
5 In 0.7511 0.4435 0.0000  5 Hg 2.91-3.17, 1 In 3.20
6 Hg 0.0000 0.5000 0.5000  4 In 3.04
7 Hg 0.0732 0.5530 0.0000  3 In 2.91-3.17
8 Hg 0.4470 0.4470 0.5203  3 In 2.91-3.17
9 Hg 0.5000 0.0000 0.5000  4 In 3.04
10 Hg 0.5530 0.0732 0.0000  3 In 2.91-3.17
11 Hg 0.9268 0.9268 0.4797  3 In 2.91-3.17

Record 2
Compound: NaTb4Se5
Source: the Alexandria database
Functional: PBE
Structure: optimized geometry

Summary:
Total energy ... -54.7 eV per formula unit
Space-group type ... No. 87
ΔE_f (raw) ... -168.6 kJ/mol of atoms

Lattice parameters (Å, degrees): 7.1228 7.1228 7.1228 99.49 99.49 132.08
Last column: nearest neighbours and their distance in Å.
Fractional positions:
1 Na 0.0000 0.0000 0.0000  6 Se 2.89-2.91
2 Tb 0.2010 0.6030 0.8041  6 Se 2.89-2.94
3 Tb 0.3970 0.2010 0.5980  6 Se 2.89-2.94
4 Tb 0.6030 0.7990 0.4020  6 Se 2.89-2.94
5 Tb 0.7990 0.3970 0.1959  6 Se 2.89-2.94
6 Se 0.0978 0.3009 0.3987  5 Tb 2.89-2.94, 1 Na 2.91
7 Se 0.3009 0.9022 0.2031  5 Tb 2.89-2.94, 1 Na 2.91
8 Se 0.5000 0.5000 0.0000  2 Na 2.89, 4 Tb 2.91
9 Se 0.6991 0.0978 0.7969  5 Tb 2.89-2.94, 1 Na 2.91
10 Se 0.9022 0.6991 0.6013  5 Tb 2.89-2.94, 1 Na 2.91

Record 3
Compound: KBBr2
Source: the Alexandria database
Functional: PBE
Structure: optimized geometry

Summary:
Total energy ... -10.6 eV per formula unit
Space-group type ... No. 166
ΔE_f (raw) ... 12.1 kJ/mol of atoms

Lattice parameters (Å, degrees): 8.8005 8.8005 8.8005 33.22 33.22 33.22
Last column: nearest neighbours and their distance in Å.
Fractional positions:
1 K 0.0000 0.0000 0.0000  6 Br 3.37
2 B 0.5000 0.5000 0.5000  2 Br 2.44
3 Br 0.4021 0.4021 0.4021  1 B 2.44
4 Br 0.5979 0.5979 0.5979  1 B 2.44

Record 4
Compound: CdFePb2
Source: the Alexandria database
Functional: PBE
Structure: optimized geometry

Summary:
Total energy ... -14.8 eV per formula unit
Space-group type ... No. 47
Calculated formation energy ... 0.4918 eV/atom

Lattice parameters (Å, degrees): 3.4105 5.2937 5.3397 90.00 90.00 90.00
Last column: nearest neighbours and their distance in Å.
Fractional positions:
1 Cd 0.0000 0.0000 0.0000  8 Pb 3.15-3.17, 2 Cd 3.41
2 Fe 0.0000 0.5000 0.5000  8 Pb 3.15-3.17, 2 Fe 3.41
3 Pb 0.5000 0.0000 0.5000  4 Fe 3.15, 4 Cd 3.17, 2 Pb 3.41
4 Pb 0.5000 0.5000 0.0000  4 Cd 3.15, 4 Fe 3.17, 2 Pb 3.41

Record 5
Compound: Yb6U
Source: the Alexandria database
Functional: PBE
Structure: optimized geometry

Summary:
Total energy ... -10.3 eV per formula unit
Space-group type ... No. 229
Calculated formation energy ... 1.4432 eV/atom

Lattice parameters (Å, degrees): 7.5328 7.5328 7.5328 109.47 109.47 109.47
Last column: nearest neighbours and their distance in Å.
Fractional positions:
1 Yb 0.2500 0.5000 0.7500  4 Yb 3.08
2 Yb 0.2500 0.7500 0.5000  4 Yb 3.08
3 Yb 0.5000 0.2500 0.7500  4 Yb 3.08
4 Yb 0.5000 0.7500 0.2500  4 Yb 3.08
5 Yb 0.7500 0.2500 0.5000  4 Yb 3.08
6 Yb 0.7500 0.5000 0.2500  4 Yb 3.08
7 U 0.0000 0.0000 0.0000  24 Yb 4.86

Record 6
Compound: HfCo2H
Source: the Alexandria database
Functional: PBE
Structure: optimized geometry

Summary:
Total energy ... -25.8 eV per formula unit
Space-group type ... No. 225

Lattice parameters (Å, degrees): 4.0675 4.0675 4.0675 60.00 60.00 60.00
Last column: nearest neighbours and their distance in Å.
Fractional positions:
1 Hf 0.0000 0.0000 0.0000  8 Co 2.49
2 Co 0.2500 0.2500 0.2500  4 Hf 2.49, 4 H 2.49
3 Co 0.7500 0.7500 0.7500  4 H 2.49, 4 Hf 2.49
4 H 0.5000 0.5000 0.5000  8 Co 2.49

Record 7
Compound: HoEr2Pd3
Source: the Alexandria database
Functional: PBE
Structure: optimized geometry

Summary:
Total energy ... -34.8 eV per formula unit
Space-group type ... No. 123
Calculated formation energy ... -0.9134 eV/atom

Lattice parameters (Å, degrees): 3.4848 3.4848 10.4383 90.00 90.00 90.00
Last column: nearest neighbours and their distance in Å.
Fractional positions:
1 Ho 0.0000 0.0000 0.0000  8 Pd 3.03
2 Er 0.0000 0.0000 0.3339  8 Pd 3.01
3 Er 0.0000 0.0000 0.6661  8 Pd 3.01
4 Pd 0.5000 0.5000 0.1683  4 Er 3.01, 4 Ho 3.03
5 Pd 0.5000 0.5000 0.5000  8 Er 3.01
6 Pd 0.5000 0.5000 0.8317  4 Er 3.01, 4 Ho 3.03

Record 8
Compound: MgCo2Re2
Source: the Alexandria database
Functional: PBE
Structure: optimized geometry

Summary:
Total energy ... -39.6 eV per formula unit
Space-group type ... No. 127
Calculated formation energy ... 0.2167 eV/atom

Lattice parameters (Å, degrees): 7.2594 7.2594 2.6437 90.00 90.00 90.00
Last column: nearest neighbours and their distance in Å.
Fractional positions:
1 Mg 0.0000 0.0000 0.0000  2 Mg 2.64, 4 Co 2.89
2 Mg 0.5000 0.5000 0.0000  2 Mg 2.64, 4 Co 2.89
3 Co 0.1200 0.3800 0.0000  3 Co 2.46-2.64, 6 Re 2.51-2.53
4 Co 0.3800 0.8800 0.0000  3 Co 2.46-2.64, 6 Re 2.51-2.53
5 Co 0.6200 0.1200 0.0000  3 Co 2.46-2.64, 6 Re 2.51-2.53
6 Co 0.8800 0.6200 0.0000  3 Co 2.46-2.64, 6 Re 2.51-2.53
7 Re 0.1725 0.6725 0.5000  6 Co 2.51-2.53, 2 Re 2.64
8 Re 0.3275 0.1725 0.5000  6 Co 2.51-2.53, 2 Re 2.64
9 Re 0.6725 0.8275 0.5000  6 Co 2.51-2.53, 2 Re 2.64
10 Re 0.8275 0.3275 0.5000  6 Co 2.51-2.53, 2 Re 2.64

Record 9
Compound: PmNdHo4
Source: the Alexandria database
Functional: PBE
Structure: optimized geometry

Summary:
Total energy ... -27.1 eV per formula unit
Space-group type ... No. 11
Calculated formation energy ... 0.1219 eV/atom

Lattice parameters (Å, degrees): 6.5592 7.0190 8.7782 90.00 103.33 90.00
Last column: nearest neighbours and their distance in Å.
Fractional positions:
1 Pm 0.2235 0.2500 0.4853  5 Ho 3.19-3.53, 1 Nd 3.36
2 Pm 0.7765 0.7500 0.5147  5 Ho 3.19-3.53, 1 Nd 3.36
3 Nd 0.1218 0.2500 0.8431  1 Pm 3.36, 8 Ho 3.43-3.62
4 Nd 0.8782 0.7500 0.1569  1 Pm 3.36, 8 Ho 3.43-3.62
5 Ho 0.1259 0.7500 0.8530  1 Pm 3.31, 3 Nd 3.43-3.51, 5 Ho 3.53-3.61
6 Ho 0.2841 0.7500 0.4950  4 Pm 3.19-3.53, 5 Ho 3.50-3.54, 1 Nd 3.50
7 Ho 0.4053 0.0013 0.1836  8 Ho 3.49-3.84, 3 Nd 3.59-3.84, 2 Pm 3.60-3.77
8 Ho 0.4053 0.4987 0.1836  8 Ho 3.49-3.84, 3 Nd 3.59-3.84, 2 Pm 3.60-3.77
9 Ho 0.5947 0.5013 0.8164  8 Ho 3.49-3.84, 3 Nd 3.59-3.84, 2 Pm 3.60-3.77
10 Ho 0.5947 0.9987 0.8164  8 Ho 3.49-3.84, 3 Nd 3.59-3.84, 2 Pm 3.60-3.77
11 Ho 0.7159 0.2500 0.5050  4 Pm 3.19-3.53, 5 Ho 3.50-3.54, 1 Nd 3.50
12 Ho 0.8741 0.2500 0.1470  1 Pm 3.31, 3 Nd 3.43-3.51, 5 Ho 3.53-3.61

Record 10
Compound: LiMg14Nb
Source: the Alexandria database
Functional: PBE
Structure: optimized geometry

Summary:
Total energy ... -33.2 eV per formula unit
Space-group type ... No. 38
Calculated formation energy ... 0.0680 eV/atom

Lattice parameters (Å, degrees): 10.0882 6.3020 6.3020 61.03 90.00 90.00
Last column: nearest neighbours and their distance in Å.
Fractional positions:
1 Li 0.0000 0.0000 0.0000  10 Mg 3.02-3.18, 2 Nb 3.20
2 Mg 0.0000 0.0024 0.4935  8 Mg 3.05-3.26, 2 Li 3.12-3.18, 2 Nb 3.15
3 Mg 0.0000 0.4935 0.0024  8 Mg 3.05-3.26, 2 Li 3.12-3.18, 2 Nb 3.15
4 Mg 0.2381 0.3304 0.8207  1 Nb 2.99, 1 Li 3.02, 10 Mg 3.05-3.26
5 Mg 0.2381 0.8207 0.3304  1 Nb 2.99, 1 Li 3.02, 10 Mg 3.05-3.26
6 Mg 0.2428 0.3348 0.3348  1 Nb 3.03, 11 Mg 3.05-3.25
7 Mg 0.2427 0.8298 0.8298  1 Li 3.07, 11 Mg 3.07-3.20
8 Mg 0.5000 0.4970 0.9979  12 Mg 3.14-3.24
9 Mg 0.5000 0.4989 0.4989  12 Mg 3.14-3.20
10 Mg 0.5000 0.9979 0.4970  12 Mg 3.14-3.24
11 Mg 0.5000 0.9983 0.9983  12 Mg 3.14-3.22
12 Mg 0.7572 0.3348 0.3348  1 Nb 3.03, 11 Mg 3.05-3.25
13 Mg 0.7573 0.8298 0.8298  1 Li 3.07, 11 Mg 3.07-3.20
14 Mg 0.7619 0.3304 0.8207  1 Nb 2.99, 1 Li 3.02, 10 Mg 3.05-3.26
15 Mg 0.7619 0.8207 0.3304  1 Nb 2.99, 1 Li 3.02, 10 Mg 3.05-3.26
16 Nb 0.0000 0.4992 0.4992  10 Mg 2.99-3.15, 2 Li 3.20

Record 11
Compound: Ni6MoPt8
Source: the Alexandria database
Functional: PBE
Structure: optimized geometry

Summary:
Total energy ... -92.2 eV per formula unit
Space-group type ... No. 148
Calculated formation energy ... 0.1112 eV/atom

Lattice parameters (Å, degrees): 6.1317 6.1317 6.1317 80.92 80.92 80.92
Last column: nearest neighbours and their distance in Å.
Fractional positions:
1 Ni 0.2199 0.5768 0.4336  4 Ni 2.48-2.62, 5 Pt 2.52-2.64
2 Ni 0.4232 0.5664 0.7801  4 Ni 2.48-2.62, 5 Pt 2.52-2.64
3 Ni 0.4336 0.2199 0.5768  4 Ni 2.48-2.62, 5 Pt 2.52-2.64
4 Ni 0.5664 0.7801 0.4232  4 Ni 2.48-2.62, 5 Pt 2.52-2.64
5 Ni 0.5768 0.4336 0.2199  4 Ni 2.48-2.62, 5 Pt 2.52-2.64
6 Ni 0.7801 0.4232 0.5664  4 Ni 2.48-2.62, 5 Pt 2.52-2.64
7 Mo 0.0000 0.0000 0.0000  8 Pt 2.54-2.79
8 Pt 0.0719 0.3893 0.8211  4 Ni 2.52-2.64, 1 Mo 2.54, 3 Pt 2.72-2.80
9 Pt 0.1789 0.9281 0.6107  4 Ni 2.52-2.64, 1 Mo 2.54, 3 Pt 2.72-2.80
10 Pt 0.2290 0.2290 0.2290  3 Ni 2.63, 6 Pt 2.75-2.80, 1 Mo 2.79
11 Pt 0.3893 0.8211 0.0719  4 Ni 2.52-2.64, 1 Mo 2.54, 3 Pt 2.72-2.80
12 Pt 0.6107 0.1789 0.9281  4 Ni 2.52-2.64, 1 Mo 2.54, 3 Pt 2.72-2.80
13 Pt 0.7710 0.7710 0.7710  3 Ni 2.63, 6 Pt 2.75-2.80, 1 Mo 2.79
14 Pt 0.8211 0.0719 0.3893  4 Ni 2.52-2.64, 1 Mo 2.54, 3 Pt 2.72-2.80
15 Pt 0.9281 0.6107 0.1789  4 Ni 2.52-2.64, 1 Mo 2.54, 3 Pt 2.72-2.80

Record 12
Compound: LaZn2W
Source: the Alexandria database
Functional: PBE
Structure: optimized geometry

Summary:
Total energy ... -19.0 eV per formula unit
Space-group type ... No. 25
Calculated formation energy ... 0.3571 eV/atom

Lattice parameters (Å, degrees): 2.9412 3.7133 7.3547 90.00 90.00 90.00
Last column: nearest neighbours and their distance in Å.
Fractional positions:
1 La 0.0000 0.0000 0.0000  2 La 2.94, 4 W 3.21
2 Zn 0.0000 0.0000 0.4739  4 W 2.71, 6 Zn 2.77-2.94
3 Zn 0.5000 0.5000 0.6705  1 W 2.77, 6 Zn 2.77-2.94
4 W 0.5000 0.5000 0.2944  5 Zn 2.71-2.77, 2 W 2.94

What is the total energy in the fourth record?
-14.8 eV per formula unit

Repeat the tenth record exactly.
Compound: LiMg14Nb
Source: the Alexandria database
Functional: PBE
Structure: optimized geometry

Summary:
Total energy ... -33.2 eV per formula unit
Space-group type ... No. 38
Calculated formation energy ... 0.0680 eV/atom

Lattice parameters (Å, degrees): 10.0882 6.3020 6.3020 61.03 90.00 90.00
Last column: nearest neighbours and their distance in Å.
Fractional positions:
1 Li 0.0000 0.0000 0.0000  10 Mg 3.02-3.18, 2 Nb 3.20
2 Mg 0.0000 0.0024 0.4935  8 Mg 3.05-3.26, 2 Li 3.12-3.18, 2 Nb 3.15
3 Mg 0.0000 0.4935 0.0024  8 Mg 3.05-3.26, 2 Li 3.12-3.18, 2 Nb 3.15
4 Mg 0.2381 0.3304 0.8207  1 Nb 2.99, 1 Li 3.02, 10 Mg 3.05-3.26
5 Mg 0.2381 0.8207 0.3304  1 Nb 2.99, 1 Li 3.02, 10 Mg 3.05-3.26
6 Mg 0.2428 0.3348 0.3348  1 Nb 3.03, 11 Mg 3.05-3.25
7 Mg 0.2427 0.8298 0.8298  1 Li 3.07, 11 Mg 3.07-3.20
8 Mg 0.5000 0.4970 0.9979  12 Mg 3.14-3.24
9 Mg 0.5000 0.4989 0.4989  12 Mg 3.14-3.20
10 Mg 0.5000 0.9979 0.4970  12 Mg 3.14-3.24
11 Mg 0.5000 0.9983 0.9983  12 Mg 3.14-3.22
12 Mg 0.7572 0.3348 0.3348  1 Nb 3.03, 11 Mg 3.05-3.25
13 Mg 0.7573 0.8298 0.8298  1 Li 3.07, 11 Mg 3.07-3.20
14 Mg 0.7619 0.3304 0.8207  1 Nb 2.99, 1 Li 3.02, 10 Mg 3.05-3.26
15 Mg 0.7619 0.8207 0.3304  1 Nb 2.99, 1 Li 3.02, 10 Mg 3.05-3.26
16 Nb 0.0000 0.4992 0.4992  10 Mg 2.99-3.15, 2 Li 3.20

The lowest total energy belongs to which entry?
Ni6MoPt8